MnBeCoB | the Alexandria database | GGA-PBE | optimized geometry; spin magnetization = 2.399 Bohr magnetons per cell; energy of formation from the pure elements = -168 meV per atom
1.0
3.634 0.000 0.000
1.817 3.147 0.000
1.817 1.049 2.967
Be B Mn Co
1 1 1 1
Direct
0.000 0.000 0.000
0.500 0.500 0.500
0.250 0.250 0.250
0.750 0.750 0.750


MgTc2PtRh | the Alexandria database | GGA-PBE | optimized geometry; spin magnetization = 2.909 Bohr magnetons per cell; energy of formation from the pure elements = 1473 meV per atom
1.0
-1.803 3.201 2.980
2.927 -1.706 3.603
3.360 3.078 -1.273
Mg Rh Tc Pt
1 1 2 1
Direct
0.500 0.500 0.500
0.000 0.500 0.000
0.000 0.000 0.500
0.500 0.000 0.000
0.000 0.000 0.000


Np2Tc2P3 | the Alexandria database | GGA-PBE | optimized geometry; spin magnetization = 14.724 Bohr magnetons per cell; energy of formation from the pure elements = -592 meV per atom
1.0
-1.435 -3.675 0.952
-2.033 -3.146 -6.557
7.040 -5.308 -1.231
Np Tc P
4 4 6
Direct
0.269 0.131 0.331
0.731 0.869 0.669
0.388 0.255 0.968
0.612 0.745 0.032
0.053 0.228 0.667
0.947 0.772 0.333
0.412 0.507 0.669
0.588 0.493 0.331
0.075 0.984 0.866
0.925 0.016 0.134
0.152 0.509 0.187
0.848 0.491 0.813
0.386 0.759 0.470
0.614 0.241 0.530


Zn2AgSb | the Alexandria database | GGA-PBE | optimized geometry; spin magnetization = 0.000 Bohr magnetons per cell; uncorrected formation energy = 0.144 eV per atom
1.0
8.583 -0.096 -0.057
7.980 3.163 -0.057
7.980 1.477 2.797
Ag Sb Zn
1 1 2
Direct
0.250 0.250 0.250
0.750 0.750 0.750
0.994 0.994 0.994
0.506 0.506 0.506


BaNaCd2Pb | the Alexandria database | GGA-PBE | optimized geometry; spin magnetization = 0.000 Bohr magnetons per cell; energy of formation from the pure elements = -267 meV per atom
1.0
5.113 0.000 0.000
0.000 5.024 0.000
-2.556 -2.512 6.315
Ba Na Cd Pb
1 1 2 1
Direct
0.436 0.436 0.872
0.195 0.695 0.391
0.689 0.189 0.378
0.061 0.061 0.123
0.830 0.830 0.661


Ce2CdP3Rh4 | the Alexandria database | GGA-PBE | optimized geometry; spin magnetization = 0.000 Bohr magnetons per cell; energy of formation from the pure elements = -927 meV per atom
1.0
-1.418 2.689 -2.560
-1.356 -2.927 -2.323
-9.572 0.124 5.433
Ce Cd P Rh
2 1 3 4
Direct
0.500 0.000 0.240
0.000 0.500 0.760
0.500 0.500 0.500
0.000 0.000 0.500
0.500 0.000 0.876
0.000 0.500 0.124
0.500 0.500 0.000
0.000 0.000 0.000
0.500 0.000 0.668
0.000 0.500 0.332


MgAlAu2 | the Alexandria database | GGA-PBE | optimized geometry; spin magnetization = 0.000 Bohr magnetons per cell; energy of formation from the pure elements = -451 meV per atom
1.0
-3.406 1.641 -3.269
-4.783 1.437 -0.189
0.321 4.491 0.441
Mg Au Al
1 2 1
Direct
0.497 0.497 0.547
0.991 0.991 0.059
0.757 0.757 0.700
0.255 0.255 0.194


Rb2CeBiS4 | the Alexandria database | GGA-PBE | optimized geometry; spin magnetization = 0.931 Bohr magnetons per cell; uncorrected formation energy = -1.273 eV per atom
1.0
4.254 0.000 0.000
0.000 7.300 0.115
0.000 -2.571 7.635
Rb Ce Bi S
2 1 1 4
Direct
0.500 0.000 0.500
0.000 0.500 0.500
0.500 0.500 0.000
0.000 0.000 0.000
0.500 0.234 0.198
0.500 0.766 0.802
0.000 0.269 0.803
0.000 0.731 0.197


Rb3TmPu3Te8 | the Alexandria database | GGA-PBE | optimized geometry; spin magnetization = 14.000 Bohr magnetons per cell; uncorrected formation energy = -1.113 eV per atom
1.0
9.006 0.000 0.000
-4.503 7.799 -0.031
0.000 -5.166 8.683
Rb Tm Pu Te
3 1 3 8
Direct
0.000 0.000 0.000
0.000 0.500 0.000
0.500 0.500 0.000
0.000 0.000 0.500
0.500 0.000 0.500
0.500 0.500 0.500
0.000 0.500 0.500
0.267 0.534 0.302
0.733 0.466 0.698
0.770 0.539 0.305
0.230 0.461 0.695
0.770 0.035 0.305
0.230 0.965 0.695
0.266 0.035 0.305
0.734 0.965 0.695


La2GdMg | the Alexandria database | GGA-PBE | optimized geometry; spin magnetization = 7.735 Bohr magnetons per cell; energy of formation from the pure elements = -36 meV per atom; distance to the lowest polymorph of the same formula = 0.000 eV/atom
1.0
-3.076 -1.792 1.427
1.938 -3.309 0.021
2.878 1.740 8.390
Mg Gd La
1 1 2
Direct
0.500 0.500 0.000
0.500 0.500 0.500
0.000 0.000 0.770
0.000 0.000 0.230


ErPaRhAu | the Alexandria database | GGA-PBE | optimized geometry; spin magnetization = 0.678 Bohr magnetons per cell; energy of formation from the pure elements = -553 meV per atom
1.0
-2.870 -3.759 1.549
1.820 -3.379 3.168
-1.615 -0.123 4.706
Rh Pa Au Er
1 1 1 1
Direct
0.500 0.500 0.500
0.250 0.250 0.250
0.000 0.000 0.000
0.750 0.750 0.750


CaCdHg2 | the Alexandria database | GGA-PBE | optimized geometry; spin magnetization = 0.000 Bohr magnetons per cell; energy of formation from the pure elements = -181 meV per atom
1.0
8.585 -0.017 -0.010
7.661 3.873 -0.010
7.661 1.819 3.420
Ca Hg Cd
1 2 1
Direct
0.502 0.502 0.502
0.001 0.001 0.001
0.255 0.255 0.255
0.742 0.742 0.742


Ce2TeAu | the Alexandria database | GGA-PBE | optimized geometry; spin magnetization = 2.992 Bohr magnetons per cell; uncorrected formation energy = -0.854 eV per atom; distance to the lowest polymorph of the same formula = 0.081 eV/atom
1.0
3.769 0.000 0.000
0.000 3.769 0.000
0.000 0.000 7.598
Te Au Ce
1 1 2
Direct
0.500 0.500 0.500
0.500 0.500 0.000
0.000 0.000 0.757
0.000 0.000 0.243


Y3Er2In2 | the Alexandria database | GGA-PBE | optimized geometry; spin magnetization = 0.000 Bohr magnetons per cell; energy of formation from the pure elements = -277 meV per atom; distance to the lowest polymorph of the same formula = 0.000 eV/atom
1.0
-1.330 1.925 -4.841
-3.842 -1.170 3.575
3.392 7.577 2.085
Y Er In
3 2 2
Direct
0.500 0.000 0.000
0.653 0.307 0.460
0.347 0.693 0.540
0.924 0.849 0.273
0.076 0.151 0.727
0.783 0.566 0.850
0.217 0.434 0.150


BaTlPdPb2 | the Alexandria database | GGA-PBE | optimized geometry; spin magnetization = 0.000 Bohr magnetons per cell; energy of formation from the pure elements = -212 meV per atom
1.0
5.526 0.000 0.000
0.000 5.526 0.000
0.000 0.000 5.413
Pb Tl Ba Pd
2 1 1 1
Direct
0.000 0.500 0.000
0.500 0.000 0.000
0.000 0.000 0.500
0.500 0.500 0.500
0.000 0.000 0.000


CaPm2CrN4 | the Alexandria database | GGA-PBE | optimized geometry; spin magnetization = 3.702 Bohr magnetons per cell; uncorrected formation energy = -1.011 eV per atom
1.0
3.483 0.000 0.000
-1.741 5.987 0.000
0.000 0.000 12.038
Ca Pm Cr N
2 4 2 8
Direct
0.105 0.209 0.750
0.895 0.791 0.250
0.369 0.739 0.541
0.631 0.261 0.041
0.631 0.261 0.459
0.369 0.739 0.959
0.827 0.653 0.750
0.173 0.347 0.250
0.264 0.528 0.131
0.736 0.472 0.631
0.736 0.472 0.869
0.264 0.528 0.369
0.000 0.000 0.500
0.000 0.000 0.000
0.403 0.806 0.750
0.597 0.194 0.250


GaNi3C | the Alexandria database | GGA-PBE | optimized geometry; spin magnetization = 0.012 Bohr magnetons per cell; energy of formation from the pure elements = 1965 meV per atom; distance to the lowest polymorph of the same formula = 2.038 eV/atom
1.0
-1.995 3.406 -1.671
-3.737 -1.441 1.526
0.651 2.168 3.640
Ni C Ga
3 1 1
Direct
0.000 0.500 0.000
0.000 0.000 0.500
0.500 0.000 0.000
0.500 0.500 0.500
0.000 0.000 0.000


Hf5GaFe2 | the Alexandria database | GGA-PBE | optimized geometry; spin magnetization = 0.003 Bohr magnetons per cell; energy of formation from the pure elements = -228 meV per atom
1.0
6.462 0.000 -3.051
-1.440 6.300 -3.051
-0.346 -0.435 7.636
Hf Ga Fe
10 2 4
Direct
0.517 0.704 0.720
0.796 0.983 0.280
0.000 0.000 0.000
0.500 0.500 0.000
0.204 0.017 0.720
0.704 0.204 0.720
0.017 0.517 0.720
0.296 0.796 0.280
0.983 0.483 0.280
0.483 0.296 0.280
0.750 0.750 0.500
0.250 0.250 0.500
0.135 0.365 0.000
0.635 0.135 0.000
0.365 0.865 0.000
0.865 0.635 0.000


SrLiZn2Ga4 | the Alexandria database | GGA-PBE | optimized geometry; spin magnetization = 0.000 Bohr magnetons per cell; energy of formation from the pure elements = -232 meV per atom
1.0
-3.910 0.018 1.996
-0.483 -1.956 3.901
0.810 7.532 6.347
Sr Li Zn Ga
1 1 2 4
Direct
0.000 0.000 0.000
0.500 0.500 0.500
0.769 0.769 0.692
0.231 0.231 0.308
0.404 0.404 0.788
0.870 0.870 0.389
0.130 0.130 0.611
0.596 0.596 0.212


La2ScInH | the Alexandria database | GGA-PBE | optimized geometry; spin magnetization = 0.000 Bohr magnetons per cell
1.0
-1.957 -2.254 -3.888
-3.495 -1.902 2.862
-2.853 3.954 -0.856
Sc H In La
1 1 1 2
Direct
0.000 0.000 0.500
0.000 0.000 0.000
0.500 0.500 0.500
0.000 0.500 0.000
0.500 0.000 0.000


These records have VASP energy values of -27.352; -28.353; -133.977; -8.947; -10.114; -67.686; -13.698; -38.446; -92.201; -25.675; -26.899; -4.245; -21.701; -35.936; -17.956; -125.025; -19.771; -143.087; -20.105; -24.036 eV/cell, in the order they appear.